A plane-wave DFT calculation with GGA-PBE was carried out for crystalline La2YSi at its relaxed geometry.

Lattice parameters (Å, degrees): 12.8332 3.9732 4.9562 90.00 112.65 90.00
Closest atoms and distances in Å follow each position.
Space group C2/m (No. 12)
One atom of each set of equivalent atoms:
La 0.2028 0.0000 0.2028  2 Si 3.12, 4 La 3.37, 2 Y 3.45
Y 0.0000 0.0000 0.5000  4 Si 3.18, 4 La 3.45
Si 0.0000 0.5000 0.0000  4 La 3.12, 4 Y 3.18

E = -5.689 eV/atom
Magnetization = 0.00 μB per formula unit

A plane-wave DFT calculation with GGA-PBE was carried out for crystalline AcDy2Y at its relaxed geometry.

Lattice parameters (Å, degrees): 3.6204 5.5799 14.0785 90.00 97.34 90.00
Closest atoms and distances in Å follow each position.
Space group P2_1/m (No. 11)
One atom of each set of equivalent atoms:
Ac 0.0400 0.2500 0.0809  1 Dy 3.38, 4 Ac 3.59-3.62
Dy 0.1619 0.2500 0.3229  4 Y 3.36-3.57, 1 Ac 3.38, 6 Dy 3.62
Dy 0.3894 0.2500 0.7795  6 Dy 3.62, 2 Y 3.77, 4 Ac 3.85-3.86
Y 0.2290 0.7500 0.4572  4 Dy 3.36-3.57, 6 Y 3.53-3.62

Energy of formation from the pure elements = 0.0896 eV per atom
E = -4.855 eV/atom
Magnetization = 0.00 μB per formula unit

A plane-wave DFT calculation with GGA-PBE was carried out for crystalline Ni2AgAuCl at its relaxed geometry.

Lattice parameters (Å, degrees): 4.7750 4.7750 5.2435 90.00 90.00 90.00
Closest atoms and distances in Å follow each position.
Space group P4/mmm (No. 123)
One atom of each set of equivalent atoms:
Ni 0.0000 0.5000 0.0000  2 Au 2.39
Ag 0.0000 0.0000 0.5000  2 Au 2.62
Au 0.0000 0.0000 0.0000  4 Ni 2.39, 2 Ag 2.62
Cl 0.5000 0.5000 0.5000  4 Ag 3.38, 8 Ni 3.55

E = -2.957 eV/atom
Magnetization = 1.41 μB per formula unit

A plane-wave DFT calculation with GGA-PBE was carried out for crystalline BaSbAu2 at its relaxed geometry.

Lattice parameters (Å, degrees): 4.8617 5.9239 7.8677 90.00 90.00 90.00
Closest atoms and distances in Å follow each position.
Space group Immm (No. 71)
One atom of each set of equivalent atoms:
Ba 0.0000 0.0000 0.0000  8 Au 3.37
Sb 0.0000 0.0000 0.5000  4 Au 2.91
Au 0.0000 0.5000 0.2037  2 Sb 2.91, 1 Au 3.21

E = -3.616 eV/atom
Magnetization = 0.00 μB per formula unit